An optimized crystal structure of Nb4OsRu3, computed with PBE-GGA.

The structure in POSCAR format:
```
Nb4OsRu3
1.0
-0.476 -2.927 1.761
-0.541 -2.151 -3.722
8.514 -1.579 -0.326
Nb Ru Os
4 3 1
direct
0.000 0.500 0.248
0.000 0.000 0.000
0.000 0.000 0.500
0.000 0.500 0.752
0.500 0.000 0.748
0.500 0.000 0.252
0.500 0.500 0.500
0.500 0.500 0.000
```

Results
Size of the total moment   0.0 μB per formula unit
Final energy   -80.708 eV per formula unit
Energy relative to the elements   -0.17 eV/atom
Space group   Pmmm (47)


An optimized crystal structure of Ca5Tl2InPb2, computed with PBE-GGA.

The structure in POSCAR format:
```
Ca5Tl2InPb2
1.0
3.839 0.000 0.000
0.000 13.050 0.000
0.000 0.000 13.050
Tl Ca Pb In
4 10 4 2
direct
0.000 0.357 0.143
0.000 0.643 0.857
0.000 0.143 0.643
0.000 0.857 0.357
0.500 0.500 0.000
0.500 0.860 0.847
0.500 0.640 0.347
0.500 0.847 0.140
0.500 0.347 0.360
0.500 0.360 0.653
0.500 0.140 0.153
0.500 0.653 0.640
0.500 0.153 0.860
0.500 0.000 0.500
0.000 0.862 0.638
0.000 0.138 0.362
0.000 0.638 0.138
0.000 0.362 0.862
0.000 0.000 0.000
0.000 0.500 0.500
```

Results
Size of the total moment   0.0 μB per formula unit
Final energy   -28.019 eV per formula unit
Energy relative to the elements   -0.31 eV/atom
Space group   P4/mbm (127)


An optimized crystal structure of AlVH2, computed with PBE-GGA.

The structure in POSCAR format:
```
AlVH2
1.0
-3.827 -0.358 -2.551
0.266 -5.711 0.402
-2.740 0.161 4.089
V H Al
4 8 4
direct
0.063 0.125 0.075
0.563 0.875 0.925
0.563 0.625 0.425
0.063 0.375 0.575
0.307 0.120 0.794
0.318 0.620 0.706
0.318 0.880 0.206
0.807 0.620 0.706
0.807 0.880 0.206
0.307 0.380 0.294
0.818 0.120 0.794
0.818 0.380 0.294
0.063 0.615 0.092
0.063 0.885 0.592
0.563 0.385 0.908
0.563 0.115 0.408
```

Results
Energy above the most stable polymorph in this dataset   23 meV/atom
Size of the total moment   0.0 μB per formula unit
Final energy   -19.539 eV per formula unit
Space group   Pnma (62)


An optimized crystal structure of NdGa3RhAu, computed with PBE-GGA.

The structure in POSCAR format:
```
NdGa3RhAu
1.0
-1.057 5.833 0.599
-5.617 -1.260 2.360
5.299 0.481 4.667
Nd Ga Rh Au
2 6 2 2
direct
0.250 0.723 0.445
0.750 0.277 0.555
0.000 0.298 0.000
0.500 0.702 0.000
0.000 0.702 0.000
0.500 0.298 0.000
0.750 0.863 0.725
0.250 0.137 0.275
0.750 0.065 0.130
0.250 0.935 0.870
0.250 0.342 0.684
0.750 0.658 0.316
```

Results
Size of the total moment   0.0 μB per formula unit
Final energy   -27.247 eV per formula unit
Energy relative to the elements   -0.46 eV/atom
Space group   Cmcm (63)


An optimized crystal structure of KRbNaH3, computed with PBE-GGA.

The structure in POSCAR format:
```
KRbNaH3
1.0
-3.865 0.185 0.682
-1.104 -4.099 -5.141
0.977 -6.362 7.267
H Rb K Na
6 2 2 2
direct
0.750 0.209 0.531
0.750 0.042 0.175
0.250 0.958 0.825
0.250 0.791 0.469
0.250 0.437 0.823
0.750 0.563 0.177
0.750 0.655 0.684
0.250 0.345 0.316
0.250 0.764 0.054
0.750 0.236 0.946
0.750 0.871 0.360
0.250 0.129 0.640
```

Results
Size of the total moment   0.0 μB per formula unit
Final energy   -14.497 eV per formula unit
Space group   P2_1/m (11)


An optimized crystal structure of Mn2Ir2Pb, computed with PBE-GGA.

The structure in POSCAR format:
```
Mn2Ir2Pb
1.0
-6.032 4.325 -0.623
-1.067 -2.488 -6.939
-1.575 -2.056 0.980
Pb Ir Mn
2 4 4
direct
0.000 0.000 0.000
0.500 0.500 0.000
0.373 0.873 0.000
0.873 0.627 0.000
0.627 0.127 0.000
0.127 0.373 0.000
0.336 0.164 0.500
0.836 0.336 0.500
0.664 0.836 0.500
0.164 0.664 0.500
```

Results
Energy above the most stable polymorph in this dataset   4 meV/atom
Size of the total moment   0.0 μB per formula unit
Final energy   -37.771 eV per formula unit
Energy relative to the elements   0.40 eV/atom
Space group   P4/mbm (127)


An optimized crystal structure of Ag3TeH, computed with PBE-GGA.

The structure in POSCAR format:
```
Ag3TeH
1.0
4.432 0.000 0.000
0.000 4.432 0.000
0.000 0.000 4.432
H Ag Te
1 3 1
direct
0.000 0.000 0.000
0.500 0.000 0.000
0.000 0.000 0.500
0.000 0.500 0.000
0.500 0.500 0.500
```

Results
Size of the total moment   0.0 μB per formula unit
Final energy   -14.176 eV per formula unit
Space group   Pm-3m (221)


An optimized crystal structure of Tb2SmDy5Tm, computed with PBE-GGA.

The structure in POSCAR format:
```
Tb2SmDy5Tm
1.0
8.898 0.000 0.000
0.000 8.898 0.000
-4.449 -4.449 7.358
Dy Tb Tm Sm
10 4 2 2
direct
0.840 0.927 0.267
0.340 0.840 0.267
0.160 0.073 0.733
0.000 0.000 0.000
0.427 0.340 0.267
0.927 0.427 0.267
0.073 0.573 0.733
0.573 0.660 0.733
0.660 0.160 0.733
0.500 0.500 0.000
0.113 0.387 0.000
0.887 0.613 0.000
0.387 0.887 0.000
0.613 0.113 0.000
0.750 0.250 0.500
0.250 0.750 0.500
0.750 0.750 0.500
0.250 0.250 0.500
```

Results
Size of the total moment   0.0 μB per formula unit
Final energy   -38.791 eV per formula unit
Energy relative to the elements   0.30 eV/atom
Space group   I4/mcm (140)


An optimized crystal structure of ReOsAu2, computed with PBE-GGA.

The structure in POSCAR format:
```
ReOsAu2
1.0
4.884 -0.002 0.000
1.616 4.609 0.000
-3.250 -2.303 2.826
Au Os Re
2 1 1
direct
0.250 0.750 0.500
0.000 0.000 0.000
0.500 0.500 0.000
0.750 0.250 0.500
```

Results
Energy above the most stable polymorph in this dataset   382 meV/atom
Size of the total moment   0.0 μB per formula unit
Final energy   -27.833 eV per formula unit
Energy relative to the elements   0.60 eV/atom
Space group   I-4m2 (119)


An optimized crystal structure of NpTl2TeSe4, computed with PBE-GGA.

The structure in POSCAR format:
```
NpTl2TeSe4
1.0
-3.584 -1.125 1.686
-2.504 -3.742 -7.817
4.006 -4.393 5.584
Tl Se Te Np
2 4 1 1
direct
0.000 0.500 0.500
0.500 0.000 0.500
0.000 0.316 0.746
0.500 0.256 0.133
0.000 0.684 0.254
0.500 0.744 0.867
0.000 0.000 0.000
0.500 0.500 0.000
```

Results
Size of the total moment   3.0 μB per formula unit
Final energy   -38.954 eV per formula unit
Formation energy without anion corrections   -0.53 eV/atom
Space group   P2/m (10)


An optimized crystal structure of Sr2CaMgAg, computed with PBE-GGA.

The structure in POSCAR format:
```
Sr2CaMgAg
1.0
6.183 0.000 0.000
0.000 6.183 0.000
0.000 0.000 5.289
Sr Ca Ag Mg
2 1 1 1
direct
0.500 0.000 0.000
0.000 0.500 0.000
0.500 0.500 0.500
0.000 0.000 0.000
0.000 0.000 0.500
```

Results
Energy above the most stable polymorph in this dataset   0 meV/atom
Size of the total moment   0.0 μB per formula unit
Final energy   -9.874 eV per formula unit
Energy relative to the elements   -0.01 eV/atom
Space group   P4/mmm (123)


An optimized crystal structure of Te2PSeN, computed with PBE-GGA.

The structure in POSCAR format:
```
Te2PSeN
1.0
-4.707 -1.733 2.433
1.890 -5.244 -0.079
1.530 0.501 3.318
N Se P Te
1 1 1 2
direct
0.000 0.000 0.500
0.000 0.000 0.000
0.500 0.500 0.500
0.000 0.500 0.000
0.500 0.000 0.000
```

Results
Energy above the most stable polymorph in this dataset   623 meV/atom
Size of the total moment   0.1 μB per formula unit
Final energy   -17.335 eV per formula unit
Formation energy without anion corrections   1.23 eV/atom
Space group   P4/mmm (123)